Crystalline TiRe3O at its relaxed geometry. Source: the Alexandria database, functional PBE-GGA.

Lattice parameters (Å, degrees): 4.5465 4.5465 4.5465 90.00 90.00 90.00
Closest atoms and distances in Å follow each position.
Sites, in units of the cell vectors:
Ti 0.0000 0.0000 0.0000  6 Re 2.27
Re 0.0000 0.0000 0.5000  2 Ti 2.27
Re 0.0000 0.5000 0.0000  2 Ti 2.27
Re 0.5000 0.0000 0.0000  2 Ti 2.27
O 0.5000 0.5000 0.5000  12 Re 3.21

Summary:
Its total energy is -7.3199 eV per atom. Its crystal system is cubic. Its formation energy from raw total energies is 2.720 eV/atom. The distance to the lowest polymorph of the same formula comes out at 2553.0 meV/atom. The density of states at the Fermi level is 2.096 states/eV/atom.